[1]
MgCuP2 | PBE | relaxed

E	-4.212	eV per atom

abc: 4.3806 4.3806 8.1461
angles: 74.40 74.40 90.00
With the nearest neighbours (Å) after each atom.
Fractional coordinates of all 8 atoms:
Cu 0.7500 0.2500 0.5000  4 P 2.26
Cu 0.0000 0.0000 0.0000  4 P 2.26
P 0.7391 0.1250 0.2500  2 Cu 2.26, 2 P 2.49
P 0.8750 0.9891 0.7500  2 Cu 2.26, 2 P 2.49
P 0.3750 0.2609 0.7500  2 Cu 2.26, 2 P 2.49
P 0.0109 0.6250 0.2500  2 Cu 2.26, 2 P 2.49
Mg 0.5000 0.5000 0.0000  4 P 2.70
Mg 0.2500 0.7500 0.5000  4 P 2.70



[2]
Mg2Cu3P | PBE | relaxed

E	-3.716	eV per atom

abc: 5.0328 5.0329 7.8044
angles: 90.00 90.00 120.00
With the nearest neighbours (Å) after each atom.
Fractional coordinates of all 12 atoms:
P 0.0000 0.0000 0.5000  6 Cu 2.45
P 0.0000 0.0000 0.0000  6 Cu 2.45
Cu 0.6614 0.8307 0.7500  2 P 2.45, 4 Cu 2.48-2.56
Cu 0.8307 0.6614 0.2500  2 P 2.45, 4 Cu 2.48-2.56
Cu 0.8307 0.1693 0.2500  2 P 2.45, 4 Cu 2.48-2.56
Cu 0.1693 0.3386 0.7500  2 P 2.45, 4 Cu 2.48-2.56
Cu 0.1693 0.8307 0.7500  2 P 2.45, 4 Cu 2.48-2.56
Cu 0.3386 0.1693 0.2500  2 P 2.45, 4 Cu 2.48-2.56
Mg 0.3334 0.6667 0.0629  9 Cu 2.83-2.91, 4 Mg 2.92-3.07, 3 P 2.95
Mg 0.3334 0.6667 0.4371  9 Cu 2.83-2.91, 4 Mg 2.92-3.07, 3 P 2.95
Mg 0.6666 0.3333 0.5629  9 Cu 2.83-2.91, 4 Mg 2.92-3.07, 3 P 2.95
Mg 0.6666 0.3333 0.9371  9 Cu 2.83-2.91, 4 Mg 2.92-3.07, 3 P 2.95



[3]
MgCuP2 | PBE | relaxed

E	-4.144	eV per atom

abc: 6.0297 6.0297 6.0297
angles: 35.33 35.33 35.33
With the nearest neighbours (Å) after each atom.
Fractional coordinates of all 4 atoms:
Mg 0.7500 0.7500 0.7500  6 P 2.70
Cu 0.2500 0.2500 0.2500  6 P 2.40
P 0.9841 0.9841 0.9841  3 Cu 2.40
P 0.5159 0.5159 0.5159  3 Cu 2.40



[4]
MgCu2P2 | PBE | relaxed

E	-4.048	eV per atom

abc: 7.0176 7.0176 2.9639
angles: 90.00 90.00 90.00
With the nearest neighbours (Å) after each atom.
Fractional coordinates of all 10 atoms:
P 0.3198 0.1802 0.5000  6 Cu 2.45-2.63
P 0.8198 0.3198 0.5000  6 Cu 2.45-2.63
P 0.1802 0.6802 0.5000  6 Cu 2.45-2.63
P 0.6802 0.8198 0.5000  6 Cu 2.45-2.63
Cu 0.1236 0.3764 0.0000  6 P 2.45-2.63, 1 Cu 2.45
Cu 0.6236 0.1236 0.0000  6 P 2.45-2.63, 1 Cu 2.45
Cu 0.3764 0.8764 0.0000  6 P 2.45-2.63, 1 Cu 2.45
Cu 0.8764 0.6236 0.0000  6 P 2.45-2.63, 1 Cu 2.45
Mg 0.5000 0.5000 0.0000  4 Cu 2.78, 2 Mg 2.96, 8 P 2.97
Mg 0.0000 0.0000 0.0000  4 Cu 2.78, 2 Mg 2.96, 8 P 2.97